(1)
This record from Alexandria describes a geometry-optimized Pm6Ge5O structure. The functional is GGA-PBE.

Cell and atoms, written as extended XYZ:
```
12
Lattice="7.224 0.172 0.000 2.198 6.881 0.000 1.099 3.441 6.128" Properties=species:S:1:pos:R:3 pbc="T T T"
Pm 6.067 1.703 1.874
Pm 3.355 5.350 1.874
Pm 2.232 1.621 0.000
Pm 7.190 5.433 0.000
Pm 7.166 5.144 4.254
Pm 4.454 8.791 4.254
Ge 4.711 3.527 3.952
Ge 1.099 3.441 2.009
Ge 4.711 3.527 0.000
Ge 2.198 6.881 4.119
Ge 5.810 6.967 2.176
O 0.000 0.000 0.000
```

Values from the calculation:
Its density of states at the Fermi level is 7.44 states/eV per cell. Its uncorrected formation energy is -1.00 eV per atom. The calculation puts the total energy at -5.714 eV/atom.

---

(2)
This record from Alexandria describes a geometry-optimized Pm6GeO12 structure. The functional is GGA-PBE.

Cell and atoms, written as extended XYZ:
```
19
Lattice="-5.266 -0.947 -3.932 1.987 -6.310 0.574 -3.163 0.601 5.807" Properties=species:S:1:pos:R:3 pbc="T T T"
Pm -3.253 -5.872 -0.019
Pm -3.065 -2.336 -1.423
Pm -0.443 -3.798 1.501
Pm -3.189 -0.784 2.468
Pm -3.378 -4.320 3.872
Pm -6.000 -2.858 0.948
Ge 0.000 0.000 0.000
O -4.525 -4.038 -0.539
O -2.278 -5.246 2.087
O -4.714 -2.615 2.829
O -1.918 -2.619 2.988
O -4.164 -1.410 0.362
O -1.729 -4.041 -0.380
O 0.658 -5.960 1.990
O -1.749 -3.948 5.698
O -1.993 -6.558 -2.035
O -7.101 -0.696 0.459
O -4.693 -2.708 -3.249
O -4.449 -0.098 4.484
```

Values from the calculation:
Its density of states at the Fermi level is 13.42 states/eV per cell. Its uncorrected formation energy is -2.90 eV per atom. The calculation puts the total energy at -7.772 eV/atom.

---

(3)
This record from Alexandria describes a geometry-optimized Pm2GeO structure. The functional is GGA-PBE.

Cell and atoms, written as extended XYZ:
```
4
Lattice="-0.820 -2.430 1.912 2.932 0.017 1.279 -2.268 4.806 5.135" Properties=species:S:1:pos:R:3 pbc="T T T"
Ge -0.078 1.197 4.163
O 1.056 -1.206 1.596
Pm -1.780 3.771 4.029
Pm -0.488 1.035 1.105
```

Values from the calculation:
Its density of states at the Fermi level is 1.93 states/eV per cell. The calculation puts the polymorph energy (0 for the lowest one) at 471 meV/atom. Its uncorrected formation energy is -1.36 eV per atom. The calculation puts the total energy at -6.126 eV/atom.

---

(4)
This record from Alexandria describes a geometry-optimized PmGeO3 structure. The functional is GGA-PBE.

Cell and atoms, written as extended XYZ:
```
20
Lattice="6.298 0.000 -0.506 0.000 5.411 0.000 -1.060 0.000 10.586" Properties=species:S:1:pos:R:3 pbc="T T T"
Pm 5.950 2.978 1.382
Pm 2.968 0.272 3.152
Pm -0.712 2.434 8.698
Pm 2.270 5.139 6.928
Ge 2.561 3.087 0.729
Ge 0.058 0.382 4.312
Ge 2.677 2.324 9.352
Ge 5.181 5.029 5.769
O 0.080 4.011 7.147
O 1.479 1.306 8.480
O 5.158 1.400 2.934
O 3.759 4.105 1.600
O 4.521 0.772 6.977
O 3.336 3.477 8.143
O 0.717 4.639 3.103
O 1.902 1.934 1.937
O 3.641 4.408 5.108
O 4.216 1.702 10.012
O 1.597 1.003 4.972
O 1.022 3.709 0.068
```

Values from the calculation:
Its density of states at the Fermi level is 0.00 states/eV per cell. Its uncorrected formation energy is -2.41 eV per atom. The calculation puts the total energy at -7.256 eV/atom.

---

(5)
This record from Alexandria describes a geometry-optimized Pm7Ge2O2 structure. The functional is GGA-PBE.

Cell and atoms, written as extended XYZ:
```
11
Lattice="6.985 -0.426 -1.589 -0.358 6.373 0.342 -2.021 0.421 6.873" Properties=species:S:1:pos:R:3 pbc="T T T"
Pm -0.770 1.728 3.280
Pm 2.962 4.643 -0.224
Pm 5.377 4.641 2.346
Pm 1.645 1.726 5.850
Pm 0.000 0.000 0.000
Pm 1.821 4.742 3.267
Pm 2.786 1.627 2.358
Ge 3.952 3.183 4.567
Ge 0.655 3.186 1.058
O 4.881 5.998 0.394
O -0.274 0.371 5.232
```

Values from the calculation:
Its density of states at the Fermi level is 10.80 states/eV per cell. Its uncorrected formation energy is -1.07 eV per atom. The calculation puts the total energy at -5.835 eV/atom.

---

(6)
This record from Alexandria describes a geometry-optimized Pm3GeO6 structure. The functional is GGA-PBE.

Cell and atoms, written as extended XYZ:
```
20
Lattice="-3.150 0.123 4.699 5.517 -3.056 3.777 1.362 7.187 0.725" Properties=species:S:1:pos:R:3 pbc="T T T"
Pm 4.479 2.307 6.208
Pm 2.024 4.538 7.911
Pm 1.665 3.160 3.958
Pm 0.936 1.138 6.928
Pm -2.194 2.004 5.150
Pm 0.260 -0.227 3.447
Ge -1.056 5.530 5.941
Ge 3.230 -1.215 5.583
O 3.951 2.621 3.970
O 2.270 2.945 6.242
O 2.942 5.232 2.905
O 3.420 0.229 6.763
O 0.800 6.937 1.815
O 0.215 4.944 4.537
O 4.058 -0.711 3.854
O 3.155 -2.691 7.052
O 0.895 4.002 1.565
O 1.374 -1.000 5.423
O 1.749 1.298 2.529
O 0.068 1.622 4.801
```

Values from the calculation:
Its density of states at the Fermi level is 3.29 states/eV per cell. Its uncorrected formation energy is -2.89 eV per atom. The calculation puts the total energy at -7.747 eV/atom.

---

(7)
This record from Alexandria describes a geometry-optimized Pm7Ge4O structure. The functional is GGA-PBE.

Cell and atoms, written as extended XYZ:
```
12
Lattice="-3.240 0.862 -3.652 -7.094 -5.077 1.731 -5.441 5.529 2.768" Properties=species:S:1:pos:R:3 pbc="T T T"
Pm -11.689 -0.506 0.156
Pm -4.086 1.820 0.691
Pm -6.123 -3.056 1.347
Pm -9.652 4.370 -0.500
Pm -8.999 1.625 1.638
Pm -1.620 0.431 -1.826
Pm -6.777 -0.311 -0.791
Ge -6.784 2.916 -0.023
Ge -8.991 -1.603 0.869
Ge -11.894 2.263 0.992
Ge -3.882 -0.949 -0.145
O 0.000 0.000 0.000
```

Values from the calculation:
Its density of states at the Fermi level is 7.47 states/eV per cell. Its uncorrected formation energy is -0.97 eV per atom. The calculation puts the total energy at -5.692 eV/atom.

---

(8)
This record from Alexandria describes a geometry-optimized Pm3GeO structure. The functional is GGA-PBE.

Cell and atoms, written as extended XYZ:
```
5
Lattice="-0.597 0.167 4.803 -3.985 -2.722 -0.401 2.685 -4.002 0.473" Properties=species:S:1:pos:R:3 pbc="T T T"
Ge -0.949 -3.278 2.437
O 0.000 0.000 0.000
Pm -1.993 -1.361 -0.201
Pm 1.343 -2.001 0.237
Pm -0.299 0.083 2.401
```

Values from the calculation:
Its density of states at the Fermi level is 3.36 states/eV per cell. The calculation puts the polymorph energy (0 for the lowest one) at 0 meV/atom. Its uncorrected formation energy is -1.39 eV per atom. The calculation puts the total energy at -6.152 eV/atom.